No. 1
# LaRe2Bi

A relaxed LaRe2Bi crystal (PBE-GGA, Alexandria).

abc: 4.341 4.341 11.056
angles: 78.68 78.68 90.00
Sites, in units of the cell vectors:
La 0.500 0.500 0.000
Re 0.375 0.470 0.750
Bi 0.750 0.250 0.500
Re 0.220 0.625 0.250
Re 0.530 0.125 0.250
Bi 0.000 0.000 0.000
La 0.250 0.750 0.500
Re 0.875 0.780 0.750

Calculated values
Formation energy: 0.9743 eV/atom
DOS at the Fermi energy: 8.448 states/eV/cell

***

No. 2
# LaScReBi2

A relaxed LaScReBi2 crystal (PBE-GGA, Alexandria).

abc: 5.439 5.439 5.223
angles: 90.00 90.00 90.00
Site moments in Bohr magnetons follow the coordinates.
Sites, in units of the cell vectors:
Bi 0.500 0.000 0.000  0.00
La 0.000 0.000 0.500  0.08
Bi 0.000 0.500 0.000  0.00
Sc 0.500 0.500 0.500  0.54
Re 0.000 0.000 0.000  0.03

Calculated values
Formation energy: 0.4626 eV/atom
DOS at the Fermi energy: 5.657 states/eV/cell

***

No. 3
# LaReTc2Bi

A relaxed LaReTc2Bi crystal (PBE-GGA, Alexandria).

abc: 4.852 4.970 4.852
angles: 90.00 90.00 90.00
Site moments in Bohr magnetons follow the coordinates.
Sites, in units of the cell vectors:
Tc 0.000 0.000 0.500  0.72
Tc 0.500 0.000 0.000  0.74
Bi 0.500 0.500 0.500  -0.10
Re 0.000 0.500 0.000  0.64
La 0.000 0.000 0.000  0.02

Calculated values
Formation energy: 2.2052 eV/atom
DOS at the Fermi energy: 8.348 states/eV/cell

***

No. 4
# LaZnReBi2

A relaxed LaZnReBi2 crystal (PBE-GGA, Alexandria).

abc: 5.354 4.835 5.354
angles: 90.00 90.00 90.00
Site moments in Bohr magnetons follow the coordinates.
Sites, in units of the cell vectors:
Bi 0.000 0.000 0.500  -0.05
Re 0.000 0.500 0.000  1.49
Bi 0.500 0.000 0.000  -0.03
La 0.500 0.500 0.500  -0.03
Zn 0.000 0.000 0.000  0.01

Calculated values
Formation energy: 0.6417 eV/atom
DOS at the Fermi energy: 5.221 states/eV/cell

***

No. 5
# La4Bi6Rh7

A relaxed La4Bi6Rh7 crystal (PBE-GGA, Alexandria).

abc: 7.962 7.962 7.962
angles: 109.47 109.47 109.47
Sites, in units of the cell vectors:
Rh 0.750 0.500 0.250
Rh 0.000 0.000 0.000
Bi 0.000 0.318 0.318
Rh 0.500 0.250 0.750
Rh 0.500 0.750 0.250
La 0.000 0.500 0.000
La 0.500 0.000 0.000
Rh 0.250 0.500 0.750
Bi 0.000 0.682 0.682
Bi 0.318 0.000 0.318
Bi 0.682 0.000 0.682
Rh 0.750 0.250 0.500
Bi 0.318 0.318 0.000
Bi 0.682 0.682 0.000
La 0.000 0.000 0.500
La 0.500 0.500 0.500
Rh 0.250 0.750 0.500

Calculated values
Formation energy: -0.6206 eV/atom
DOS at the Fermi energy: 9.049 states/eV/cell

***

No. 6
# La3BiRh

A relaxed La3BiRh crystal (PBE-GGA, Alexandria).

abc: 4.746 8.592 15.495
angles: 90.00 90.00 90.00
Sites, in units of the cell vectors:
La 0.750 0.807 0.214
Bi 0.250 0.586 0.321
La 0.750 0.141 0.008
La 0.250 0.859 0.992
La 0.750 0.641 0.492
La 0.750 0.030 0.599
Rh 0.250 0.322 0.939
La 0.750 0.530 0.901
Bi 0.750 0.914 0.821
Rh 0.750 0.178 0.439
Bi 0.750 0.414 0.679
Bi 0.250 0.086 0.179
Rh 0.750 0.678 0.061
La 0.250 0.470 0.099
La 0.250 0.359 0.508
La 0.750 0.307 0.286
La 0.250 0.693 0.714
La 0.250 0.193 0.786
La 0.250 0.970 0.401
Rh 0.250 0.822 0.561

Calculated values
Formation energy: -0.7933 eV/atom
E above lowest polymorph: 0.00 kJ per mole of atoms
DOS at the Fermi energy: 16.665 states/eV/cell

***

No. 7
# La2Bi2Rh

A relaxed La2Bi2Rh crystal (PBE-GGA, Alexandria).

abc: 7.492 7.492 5.089
angles: 90.00 90.00 90.00
Sites, in units of the cell vectors:
La 0.669 0.831 0.500
La 0.169 0.669 0.500
Bi 0.851 0.649 0.000
La 0.831 0.331 0.500
Bi 0.351 0.851 0.000
La 0.331 0.169 0.500
Bi 0.149 0.351 0.000
Rh 0.500 0.500 0.000
Rh 0.000 0.000 0.000
Bi 0.649 0.149 0.000

Calculated values
Formation energy: -0.5988 eV/atom
DOS at the Fermi energy: 10.549 states/eV/cell

***

No. 8
# LaBiRh3

A relaxed LaBiRh3 crystal (PBE-GGA, Alexandria).

abc: 4.944 4.944 4.944
angles: 90.00 90.00 90.00
Sites, in units of the cell vectors:
Rh 0.000 0.500 0.000
Rh 0.000 0.000 0.500
Bi 0.500 0.500 0.500
La 0.000 0.000 0.000
Rh 0.500 0.000 0.000

Calculated values
Formation energy: 0.7367 eV/atom
E above lowest polymorph: 110.08 kJ per mole of atoms
DOS at the Fermi energy: 4.842 states/eV/cell